Material: TmHg4
Method: DFT, PBE-GGA
State: optimized geometry

energy above the lowest structure with this stoichiometry = 444 meV per atom
calculated volume = 210.0 Å³/cell
spin magnetization = 0.000 μB per atom
density of states at the Fermi level = 0.80 states/eV/atom

abc: 5.944 5.944 5.944
angles: 90.00 90.00 90.00
Space group Pm-3m (No. 221)
Asymmetric unit:
Tm 0.000 0.000 0.000 x1
Hg 0.000 0.000 0.500 x3
Hg 0.500 0.500 0.500 x1

---

Material: NaDyCd
Method: DFT, PBE-GGA
State: optimized geometry

energy above the lowest structure with this stoichiometry = 0 meV per atom
calculated volume = 174.2 Å³/cell
spin magnetization = 0.001 μB per atom
density of states at the Fermi level = 0.70 states/eV/atom

abc: 3.432 3.432 14.789
angles: 90.00 90.00 90.00
Space group I4mm (No. 107)
Asymmetric unit:
Na 0.000 0.000 0.000 x2
Dy 0.000 0.000 0.296 x2
Cd 0.000 0.000 0.658 x2

---

Material: Ti6ZnCo5
Method: DFT, PBE-GGA
State: optimized geometry

calculated volume = 325.8 Å³/cell
E = -176.2 eV for the cell shown
spin magnetization = 0.300 μB per atom
density of states at the Fermi level = 0.88 states/eV/atom

abc: 4.221 6.097 12.660
angles: 90.00 90.00 90.00
Space group Immm (No. 71)
Asymmetric unit:
Ti 0.000 0.241 0.000 x4
Ti 0.000 0.254 0.330 x8
Zn 0.000 0.000 0.500 x2
Co 0.000 0.000 0.169 x4
Co 0.000 0.500 0.163 x4
Co 0.000 0.500 0.500 x2

---

Material: Li2MgRh
Method: DFT, PBE-GGA
State: optimized geometry

calculated volume = 60.8 Å³/cell
E = -13.1 eV for the cell shown
spin magnetization = 0.000 μB per atom
density of states at the Fermi level = 0.36 states/eV/atom

abc: 3.316 3.316 5.524
angles: 90.00 90.00 90.00
Space group P4/mmm (No. 123)
Asymmetric unit:
Li 0.000 0.000 0.208 x2
Mg 0.500 0.500 0.500 x1
Rh 0.500 0.500 0.000 x1

---

Material: YAgPdPt
Method: DFT, PBE-GGA
State: optimized geometry

energy above the lowest structure with this stoichiometry = 0 meV per atom
calculated volume = 73.6 Å³/cell
spin magnetization = 0.000 μB per atom
density of states at the Fermi level = 0.21 states/eV/atom

abc: 4.005 4.202 4.373
angles: 90.00 90.00 90.00
Space group Pmmm (No. 47)
Asymmetric unit:
Y 0.000 0.000 0.000 x1
Ag 0.000 0.500 0.500 x1
Pd 0.500 0.000 0.500 x1
Pt 0.500 0.500 0.000 x1

---

Material: Sm3Dy8Sc
Method: DFT, PBE-GGA
State: optimized geometry

calculated volume = 849.8 Å³/cell
E = -100.2 eV for the cell shown
spin magnetization = 0.000 μB per atom
density of states at the Fermi level = 1.60 states/eV/atom

abc: 8.672 8.672 11.299
angles: 90.00 90.00 90.00
Space group I-42m (No. 121)
Asymmetric unit:
Sm 0.000 0.000 0.000 x2
Sm 0.000 0.500 0.250 x4
Dy 0.126 0.126 0.261 x8
Dy 0.234 0.234 0.525 x8
Sc 0.000 0.000 0.500 x2

---

Material: La2VCuN
Method: DFT, PBE-GGA
State: optimized geometry

calculated volume = 106.2 Å³/cell
E = -34.0 eV for the cell shown
spin magnetization = 0.447 μB per atom
density of states at the Fermi level = 0.55 states/eV/atom

abc: 5.245 5.245 3.861
angles: 90.00 90.00 90.00
Space group P4/mmm (No. 123)
Asymmetric unit:
La 0.000 0.500 0.000 x2
V 0.000 0.000 0.500 x1
Cu 0.500 0.500 0.500 x1
N 0.000 0.000 0.000 x1

---

Material: ZnIn3O
Method: DFT, PBE-GGA
State: optimized geometry

calculated volume = 113.8 Å³/cell
E = -15.0 eV for the cell shown
spin magnetization = 0.000 μB per atom
density of states at the Fermi level = 0.42 states/eV/atom

abc: 4.845 4.845 4.845
angles: 90.00 90.00 90.00
Space group Pm-3m (No. 221)
Asymmetric unit:
Zn 0.000 0.000 0.000 x1
In 0.000 0.500 0.500 x3
O 0.500 0.500 0.500 x1